--- A ---
DFT (PBE) results for BaLaCuTeSe2 after structural relaxation.

Cell and atoms, written as POSCAR:
```
BaLaCuTeSe2
1.0
2.178 -7.318 0.000
2.178 7.318 0.000
0.000 0.000 11.743
Ba Cu La Se Te
2 2 2 4 2
Cartesian
2.178 3.375 2.936
2.178 -3.375 8.807
2.178 -6.935 2.936
2.178 6.935 8.807
2.178 0.000 0.000
2.178 0.000 5.871
2.178 -5.451 0.934
2.178 -5.451 4.937
2.178 5.451 6.805
2.178 5.451 10.809
2.178 -1.211 2.936
2.178 1.211 8.807
```

=====

--- B ---
DFT (PBE) results for BaLaCuTeSe2 after structural relaxation.

Cell and atoms, written as POSCAR:
```
BaLaCuTeSe2
1.0
-1.703 -10.808 5.109
0.353 -1.979 -4.068
12.356 -1.171 1.641
Ba Cu La Se Te
4 4 4 8 4
Cartesian
-0.178 -2.675 0.020
4.996 -8.650 3.375
6.010 -5.308 -0.693
11.184 -11.283 2.661
1.396 -8.814 3.143
3.265 -3.507 0.723
7.741 -10.451 1.958
9.610 -5.144 -0.461
1.641 -6.964 -0.267
2.554 -12.535 2.522
8.452 -1.423 0.160
9.365 -6.994 2.948
-0.192 -7.101 2.172
2.402 -4.154 -1.567
2.688 -9.666 1.139
5.338 -2.140 0.238
5.668 -11.818 2.443
8.318 -4.292 1.543
8.605 -9.804 4.249
11.198 -6.857 0.510
0.222 -10.959 4.084
3.739 -5.808 1.884
7.268 -8.150 0.798
10.784 -2.999 -1.402
```

=====

Which structure wins on stability? A wins.

=====

--- A ---
DFT (PBE) results for BaNbCuPd after structural relaxation.

Cell and atoms, written as POSCAR:
```
BaNbCuPd
1.0
2.142 -0.378 4.561
2.665 3.865 1.868
-1.819 2.684 3.875
Ba Cu Nb Pd
1 1 1 1
Cartesian
0.000 0.000 0.000
2.241 4.629 7.728
1.494 3.086 5.152
0.747 1.543 2.576
```

=====

--- B ---
DFT (PBE) results for BaNbCuPd after structural relaxation.

Cell and atoms, written as POSCAR:
```
BaNbCuPd
1.0
0.000 3.406 3.406
3.406 0.000 3.406
3.406 3.406 0.000
Ba Cu Nb Pd
1 1 1 1
Cartesian
3.406 3.406 3.406
5.109 5.109 5.109
1.703 1.703 1.703
0.000 0.000 0.000
```

=====

--- C ---
DFT (PBE) results for BaNbCuPd after structural relaxation.

Cell and atoms, written as POSCAR:
```
BaNbCuPd
1.0
0.000 3.413 3.413
3.413 0.000 3.413
3.413 3.413 0.000
Ba Cu Nb Pd
1 1 1 1
Cartesian
1.707 1.707 1.707
5.120 5.120 5.120
3.413 3.413 3.413
0.000 0.000 0.000
```

=====

Which structure wins on stability? A wins.